No. 1
Below is a relaxed Ti10Nb4Al crystal, with properties calculated at the PBE level.

* M_tot: 0.0000 μB/atom
* formation energy: 0.622 eV per atom
* density of states at the Fermi level: 1.014 states/eV per atom
* crystal system: tetragonal
* calculated volume: 20.1 Å³ per atom

a = 7.626 Å, b = 7.626 Å, c = 7.626 Å
α = 99.55°, β = 99.55°, γ = 131.92°
Fractional coordinates of all 15 atoms:
Ti  0.040  0.347  0.897
Ti  0.143  0.040  0.692
Ti  0.250  0.750  0.500
Ti  0.347  0.451  0.308
Ti  0.451  0.143  0.103
Ti  0.549  0.857  0.897
Ti  0.653  0.549  0.692
Ti  0.750  0.250  0.500
Ti  0.857  0.960  0.308
Ti  0.960  0.653  0.103
Nb  0.100  0.704  0.804
Nb  0.296  0.100  0.396
Nb  0.704  0.900  0.604
Nb  0.900  0.296  0.196
Al  0.500  0.500  0.000

No. 2
Below is a relaxed ErPuCu crystal, with properties calculated at the PBE level.

* E above lowest polymorph: 0.0 kJ/mol of atoms
* M_tot: 2.0641 μB/atom
* formation energy: 0.019 eV per atom
* density of states at the Fermi level: 2.772 states/eV per atom
* crystal system: tetragonal
* calculated volume: 23.7 Å³ per atom

a = 6.524 Å, b = 6.524 Å, c = 6.524 Å
α = 149.58°, β = 149.58°, γ = 43.55°
Fractional coordinates of all 3 atoms:
Er  0.000  0.000  0.000
Pu  0.716  0.716  0.000
Cu  0.369  0.369  0.000

No. 3
Below is a relaxed NbAuI2O crystal, with properties calculated at the PBE level.

* E above lowest polymorph: 0.0 kJ/mol of atoms
* M_tot: 0.0000 μB/atom
* uncorrected formation energy: -0.4264 eV per atom
* density of states at the Fermi level: 0.441 states/eV per atom
* crystal system: tetragonal
* calculated volume: 24.9 Å³ per atom

a = 5.652 Å, b = 5.652 Å, c = 3.904 Å
α = 90.00°, β = 90.00°, γ = 90.00°
Fractional coordinates of all 5 atoms:
Nb  0.000  0.000  0.000
Au  0.500  0.500  0.500
I  0.000  0.500  0.000
I  0.500  0.000  0.000
O  0.000  0.000  0.500

No. 4
Below is a relaxed CeSc2PaAs4 crystal, with properties calculated at the PBE level.

* M_tot: 0.1178 μB/atom
* formation energy: -1.295 eV per atom
* density of states at the Fermi level: 1.216 states/eV per atom
* crystal system: monoclinic
* calculated volume: 23.0 Å³ per atom

a = 6.897 Å, b = 4.040 Å, c = 7.005 Å
α = 90.00°, β = 109.72°, γ = 90.00°
Fractional coordinates of all 8 atoms:
Ce  0.000  0.000  0.000
Sc  0.500  0.000  0.500
Sc  0.500  0.500  0.000
Pa  0.000  0.500  0.500
As  0.266  0.000  0.751
As  0.268  0.500  0.261
As  0.732  0.500  0.739
As  0.734  0.000  0.249